[1]
First-principles (PBE-GGA) data for a relaxed structure of Ca2InH, as listed in Alexandria.

Output
relative energy among the computed polymorphs: 378 meV/atom
DOS(E_F): 3.4 states/eV per cell

Lattice parameters (Å, degrees): 5.268 5.268 5.268 60.00 60.00 60.00
Positions (direct):
Ca 0.250 0.250 0.250
Ca 0.750 0.750 0.750
In 0.000 0.000 0.000
H 0.500 0.500 0.500


[2]
First-principles (PBE-GGA) data for a relaxed structure of CaBeTl2, as listed in Alexandria.

Output
relative energy among the computed polymorphs: 61 meV/atom
energy relative to the elements: 0.127 eV per atom
DOS(E_F): 1.3 states/eV per cell

Lattice parameters (Å, degrees): 3.755 4.362 6.193 90.00 101.78 90.00
Positions (direct):
Ca 0.000 0.000 0.000
Be 0.500 0.000 0.500
Tl 0.354 0.500 0.714
Tl 0.646 0.500 0.286


[3]
First-principles (PBE-GGA) data for a relaxed structure of HRhAu2, as listed in Alexandria.

Output
relative energy among the computed polymorphs: 0 meV/atom
DOS(E_F): 6.5 states/eV per cell

Lattice parameters (Å, degrees): 5.263 5.263 5.263 105.96 105.96 116.76
Positions (direct):
H 0.000 0.000 0.000
H 0.750 0.250 0.500
Rh 0.250 0.750 0.500
Rh 0.500 0.500 0.000
Au 0.030 0.125 0.405
Au 0.375 0.970 0.095
Au 0.720 0.625 0.595
Au 0.875 0.280 0.905